Entry 1:
Below is a PBEsol-optimized structure of NaAl2I, with properties calculated at the SCAN level.

It has space group Fm-3m (No. 225), with a = 7.597 Å, b = 7.597 Å, c = 7.597 Å, α = 90.00°, β = 90.00° and γ = 90.00°. The distinct sites, in fractional coordinates, are Na at (0.000, 0.000, 0.000), Al at (0.250, 0.250, 0.250) and I at (0.000, 0.000, 0.500).

The value obtained for the formation energy from raw total energies is 2.40 eV/f.u. Its energy is -13.514 eV per atom. The value obtained for the volume is 27.41 A^3/atom.



Entry 2:
Below is a PBEsol-optimized structure of Na4Al3Si3IO12, with properties calculated at the SCAN level.

It has space group P-43n (No. 218), with a = 9.031 Å, b = 9.031 Å, c = 9.031 Å, α = 90.00°, β = 90.00° and γ = 90.00°. The distinct sites, in fractional coordinates, are Na at (0.197, 0.197, 0.197), Al at (0.000, 0.250, 0.500), Si at (0.000, 0.500, 0.250), I at (0.000, 0.000, 0.000) and O at (0.054, 0.358, 0.651).

The value obtained for the formation energy from raw total energies is -66.64 eV/f.u. Its energy is -10.796 eV per atom. The value obtained for the volume is 16.01 A^3/atom.



Entry 3:
Below is a PBEsol-optimized structure of NaAlTeI2, with properties calculated at the SCAN level.

It has space group P4/mmm (No. 123), with a = 5.639 Å, b = 5.639 Å, c = 5.346 Å, α = 90.00°, β = 90.00° and γ = 90.00°. The distinct sites, in fractional coordinates, are Na at (0.000, 0.000, 0.000), Al at (0.500, 0.500, 0.500), Te at (0.500, 0.500, 0.000) and I at (0.000, 0.500, 0.500).

The value obtained for the formation energy from raw total energies is -2.31 eV/f.u. Its energy is -25.003 eV per atom. The value obtained for the volume is 34.00 A^3/atom.



Entry 4:
Below is a PBEsol-optimized structure of Nb2AlI, with properties calculated at the SCAN level.

It has space group I-42d (No. 122), with a = 4.072 Å, b = 4.072 Å, c = 19.447 Å, α = 90.00°, β = 90.00° and γ = 90.00°. The distinct sites, in fractional coordinates, are Nb at (0.243, 0.250, 0.125), Al at (0.000, 0.000, 0.000) and I at (0.000, 0.000, 0.500).

The value obtained for the formation energy from raw total energies is 2.46 eV/f.u. Its energy is -27.073 eV per atom. The value obtained for the volume is 20.16 A^3/atom.



Entry 5:
Below is a PBEsol-optimized structure of NbAlI2, with properties calculated at the SCAN level.

It has space group I-42d (No. 122), with a = 9.774 Å, b = 9.774 Å, c = 5.331 Å, α = 90.00°, β = 90.00° and γ = 90.00°. The distinct sites, in fractional coordinates, are Nb at (0.000, 0.000, 0.000), Al at (0.000, 0.000, 0.500) and I at (0.110, 0.750, 0.125).

The value obtained for the formation energy from raw total energies is 1.10 eV/f.u. Its energy is -28.315 eV per atom. The value obtained for the volume is 31.83 A^3/atom.



Entry 6:
Below is a PBEsol-optimized structure of NbAl3I, with properties calculated at the SCAN level.

It has space group Pm-3m (No. 221), with a = 5.124 Å, b = 5.124 Å, c = 5.124 Å, α = 90.00°, β = 90.00° and γ = 90.00°. The distinct sites, in fractional coordinates, are Nb at (0.000, 0.000, 0.000), Al at (0.000, 0.500, 0.500) and I at (0.500, 0.500, 0.500).

The value obtained for the formation energy from raw total energies is 8.83 eV/f.u. Its energy is -16.859 eV per atom. The value obtained for the volume is 26.90 A^3/atom.



Entry 7:
Below is a PBEsol-optimized structure of NbAlTe2I, with properties calculated at the SCAN level.

It has space group P4/mmm (No. 123), with a = 5.362 Å, b = 5.362 Å, c = 5.603 Å, α = 90.00°, β = 90.00° and γ = 90.00°. The distinct sites, in fractional coordinates, are Nb at (0.000, 0.000, 0.000), Al at (0.500, 0.500, 0.500), Te at (0.000, 0.500, 0.000) and I at (0.000, 0.000, 0.500).

The value obtained for the formation energy from raw total energies is 1.39 eV/f.u. Its energy is -30.147 eV per atom. The value obtained for the volume is 32.22 A^3/atom.



Entry 8:
Below is a PBEsol-optimized structure of AlNi3I, with properties calculated at the SCAN level.

It has space group Pm-3m (No. 221), with a = 4.342 Å, b = 4.342 Å, c = 4.342 Å, α = 90.00°, β = 90.00° and γ = 90.00°. The distinct sites, in fractional coordinates, are Al at (0.000, 0.000, 0.000), Ni at (0.000, 0.000, 0.500) and I at (0.500, 0.500, 0.500).

The value obtained for the formation energy from raw total energies is 4.06 eV/f.u. Its energy is -17.791 eV per atom. The value obtained for the volume is 16.37 A^3/atom.



Entry 9:
Below is a PBEsol-optimized structure of AlNiSb2I, with properties calculated at the SCAN level.

It has space group P4/mmm (No. 123), with a = 5.168 Å, b = 5.168 Å, c = 5.278 Å, α = 90.00°, β = 90.00° and γ = 90.00°. The distinct sites, in fractional coordinates, are Al at (0.000, 0.000, 0.000), Ni at (0.500, 0.500, 0.500), Sb at (0.000, 0.500, 0.000) and I at (0.000, 0.000, 0.500).

The value obtained for the formation energy from raw total energies is 5.34 eV/f.u. Its energy is -25.969 eV per atom. The value obtained for the volume is 28.20 A^3/atom.



Entry 10:
Below is a PBEsol-optimized structure of AlIO, with properties calculated at the SCAN level.

It has space group Pca2_1 (No. 29), with a = 5.769 Å, b = 9.286 Å, c = 5.048 Å, α = 90.00°, β = 90.00° and γ = 90.00°. The distinct sites, in fractional coordinates, are Al at (0.098, 0.081, 0.000), I at (0.002, 0.668, 0.612) and O at (0.129, 0.029, 0.656).

The value obtained for the formation energy from raw total energies is -6.31 eV/f.u. Its energy is -19.013 eV per atom. The value obtained for the volume is 22.53 A^3/atom.



Entry 11:
Below is a PBEsol-optimized structure of AlOsIO2, with properties calculated at the SCAN level.

It has space group P4/mmm (No. 123), with a = 3.652 Å, b = 3.652 Å, c = 6.257 Å, α = 90.00°, β = 90.00° and γ = 90.00°. The distinct sites, in fractional coordinates, are Al at (0.000, 0.000, 0.000), Os at (0.500, 0.500, 0.500), I at (0.000, 0.000, 0.500) and O at (0.000, 0.500, 0.000).

The value obtained for the formation energy from raw total energies is -0.91 eV/f.u. Its energy is -25.950 eV per atom. The value obtained for the volume is 16.69 A^3/atom.



Entry 12:
Below is a PBEsol-optimized structure of AlPbI2O, with properties calculated at the SCAN level.

It has space group P4/mmm (No. 123), with a = 5.888 Å, b = 5.888 Å, c = 3.523 Å, α = 90.00°, β = 90.00° and γ = 90.00°. The distinct sites, in fractional coordinates, are Al at (0.000, 0.000, 0.000), Pb at (0.500, 0.500, 0.500), I at (0.000, 0.500, 0.000) and O at (0.000, 0.000, 0.500).

The value obtained for the formation energy from raw total energies is -4.50 eV/f.u. Its energy is -33.549 eV per atom. The value obtained for the volume is 24.43 A^3/atom.



Question: The lowest formation energy from raw total energies belongs to which entry?
Answer: Na4Al3Si3IO12



What did the eleventh record say?
Below is a PBEsol-optimized structure of AlOsIO2, with properties calculated at the SCAN level.

It has space group P4/mmm (No. 123), with a = 3.652 Å, b = 3.652 Å, c = 6.257 Å, α = 90.00°, β = 90.00° and γ = 90.00°. The distinct sites, in fractional coordinates, are Al at (0.000, 0.000, 0.000), Os at (0.500, 0.500, 0.500), I at (0.000, 0.000, 0.500) and O at (0.000, 0.500, 0.000).

The value obtained for the formation energy from raw total energies is -0.91 eV/f.u. Its energy is -25.950 eV per atom. The value obtained for the volume is 16.69 A^3/atom.